The following is a DFT calculation (PBE-GGA) of a relaxed structure of LaIrAu2.

```
4
Lattice="4.233 0.032 0.000 -0.026 4.233 0.000 0.000 0.000 4.527" Properties=species:S:1:pos:R:3 pbc="T T T"
Au 0.000 0.000 0.000
Au 2.103 2.132 0.000
Ir 2.116 0.016 2.264
La -0.013 2.116 2.264
```

Results
For the energy of formation from the pure elements, the calculation gives -0.402 eV per atom. The energy above the most stable polymorph in this dataset is 24 meV per atom.